Run A
# Pm2Sm6Er PBE relaxed
# * M_tot: 0.00 μB per formula unit
# * density: 7.4 g/cm3
# * SG: C2/c (15)
data_Pm2Sm6Er
_cell_length_a 6.6956
_cell_length_b 9.7388
_cell_length_c 9.7388
_cell_angle_alpha 96.75
_cell_angle_beta 80.03
_cell_angle_gamma 80.03
_space_group_name_H-M_alt 'P 1'
_space_group_IT_number 1
_space_group_name_Hall 'P 1'
loop_
_atom_site_label
_atom_site_fract_x
_atom_site_fract_y
_atom_site_fract_z
Sm1 0.8178 0.9611 0.7770
Sm2 0.9938 0.7214 0.3508
Sm3 0.6822 0.2230 0.0389
Sm4 0.7229 0.0590 0.4622
Sm5 0.0062 0.2786 0.6492
Sm6 0.7771 0.5378 0.9410
Sm7 0.1822 0.0389 0.2230
Sm8 0.5062 0.6492 0.2786
Sm9 0.4938 0.3508 0.7214
Sm10 0.2771 0.9410 0.5378
Sm11 0.2229 0.4622 0.0590
Sm12 0.3178 0.7770 0.9611
Er1 0.7500 0.8825 0.1175
Er2 0.2500 0.1175 0.8825
Pm1 0.3711 0.3310 0.3789
Pm2 0.8711 0.3789 0.3310
Pm3 0.6289 0.6690 0.6211
Pm4 0.1289 0.6211 0.6690

Run B
# Pm2Sm6Er PBE relaxed
# * M_tot: 0.00 μB per formula unit
# * density: 7.5 g/cm3
# * SG: Cmmm (65)
data_Pm2Sm6Er
_cell_length_a 3.5367
_cell_length_b 9.8695
_cell_length_c 10.5099
_cell_angle_alpha 118.00
_cell_angle_beta 70.36
_cell_angle_gamma 90.00
_space_group_name_H-M_alt 'P 1'
_space_group_IT_number 1
_space_group_name_Hall 'P 1'
loop_
_atom_site_label
_atom_site_fract_x
_atom_site_fract_y
_atom_site_fract_z
Sm1 0.5000 0.3311 0.0000
Sm2 0.5000 0.6689 0.0000
Sm3 0.1697 0.3315 0.3310
Sm4 0.8303 0.6685 0.6690
Sm5 0.8303 0.0006 0.6690
Sm6 0.1697 0.9994 0.3310
Pm1 0.6665 0.6668 0.3335
Pm2 0.3335 0.3332 0.6665
Er1 0.0000 0.0000 0.0000

Unit: kJ/mol of atoms. Relative energies: run A 5.5; run B 0.0.

Run A
# Pm4Sm3Er5 PBE relaxed
# * M_tot: 0.27 μB per formula unit
# * density: 7.7 g/cm3
# * SG: C2/m (12)
data_Pm4Sm3Er5
_cell_length_a 5.9480
_cell_length_b 8.5631
_cell_length_c 9.7056
_cell_angle_alpha 105.62
_cell_angle_beta 72.16
_cell_angle_gamma 69.68
_space_group_name_H-M_alt 'P 1'
_space_group_IT_number 1
_space_group_name_Hall 'P 1'
loop_
_atom_site_label
_atom_site_fract_x
_atom_site_fract_y
_atom_site_fract_z
Pm1 0.8614 0.2227 0.0544
Pm2 0.1386 0.7773 0.9456
Pm3 0.8293 0.9589 0.3825
Pm4 0.1707 0.0411 0.6175
Sm1 0.5245 0.6864 0.2647
Sm2 0.0000 0.5000 0.5000
Sm3 0.4755 0.3136 0.7353
Er1 0.2139 0.4576 0.1147
Er2 0.6273 0.9439 0.8016
Er3 0.5000 0.5000 0.5000
Er4 0.7861 0.5424 0.8853
Er5 0.3727 0.0561 0.1984

Run B
# Pm4Sm3Er5 PBE relaxed
# * M_tot: 0.00 μB per formula unit
# * density: 7.9 g/cm3
# * SG: P-1 (2)
data_Pm4Sm3Er5
_cell_length_a 7.1646
_cell_length_b 11.3354
_cell_length_c 12.9226
_cell_angle_alpha 151.29
_cell_angle_beta 56.32
_cell_angle_gamma 129.28
_space_group_name_H-M_alt 'P 1'
_space_group_IT_number 1
_space_group_name_Hall 'P 1'
loop_
_atom_site_label
_atom_site_fract_x
_atom_site_fract_y
_atom_site_fract_z
Er1 0.7513 0.5000 0.0000
Er2 0.6696 0.3353 0.1657
Er3 0.2487 0.5000 0.0000
Er4 0.3304 0.6647 0.8343
Er5 0.5000 0.0000 0.5000
Sm1 0.4191 0.8363 0.6683
Sm2 0.5809 0.1637 0.3317
Sm3 0.0000 0.0000 0.5000
Pm1 0.8304 0.6618 0.8315
Pm2 0.9172 0.8360 0.6681
Pm3 0.1696 0.3382 0.1685
Pm4 0.0828 0.1640 0.3319

Unit: kJ/mol of atoms. Relative energies: run A 20.1; run B 0.0.